No. 1
VASP calculation (GGA-PBE) on a geometry-optimized RbMo2 structure.

Geometry as extended XYZ:
```
6
Lattice="1.6622 -0.3702 5.4444 -2.8024 -3.4118 3.6121 2.4690 -4.7746 1.9101" Properties=species:S:1:pos:R:3 pbc="T T T"
Mo 0.8305 -5.3479 6.8541
Mo -0.0006 -5.1628 4.1319
Mo 2.2317 -3.6420 5.0481
Rb 0.0000 0.0000 0.0000
Rb 0.3322 -2.1392 2.7416
Mo -0.4040 -2.9606 5.8991
```

Summary:
E = -5.818 eV per atom
Mass density = 7.017 Mg/m³

***

No. 2
VASP calculation (GGA-PBE) on a geometry-optimized UTaPb structure.

Geometry as extended XYZ:
```
3
Lattice="-1.7023 -0.5164 4.5685 -4.7699 -0.8420 0.7581 -1.4929 -4.3953 1.5775" Properties=species:S:1:pos:R:3 pbc="T T T"
Ta -5.9738 -4.3152 5.1781
U 0.0000 0.0000 0.0000
Pb -1.9913 -1.4384 1.7260
```

Summary:
E = -7.468 eV per atom
Mass density = 12.479 Mg/m³

***

No. 3
VASP calculation (GGA-PBE) on a geometry-optimized DyHoCu2B2C2 structure.

Geometry as extended XYZ:
```
8
Lattice="-2.6173 -2.3820 0.5392 2.4190 -2.4194 1.0536 -0.7381 2.4877 7.4072" Properties=species:S:1:pos:R:3 pbc="T T T"
Cu -1.3088 -1.1904 0.2714
C -0.5740 -0.8002 5.5618
Ho -0.3492 -1.5579 3.3060
Dy -0.4886 1.6468 4.9034
C -0.2627 0.8855 2.6365
Cu 1.2093 -1.2091 0.5286
B -0.1256 0.4232 1.2601
B -0.7113 -0.3375 6.9395
```

Summary:
E = -6.404 eV per atom
Mass density = 8.258 Mg/m³